No. 1
A geometry-optimized SmCuSn2Pd structure. Source: the Alexandria database, functional PBE-GGA.

Its total DFT energy (no corrections) is -49.33 eV for the cell shown.

The space group is I-4m2 (No. 119) and the conventional cell measures 4.446, 4.446 and 11.171 Å, with angles of 90.00, 90.00 and 90.00 degrees. The inequivalent atoms are Sm at (0.000, 0.000, 0.000), Cu at (0.000, 0.500, 0.750), Sn at (0.000, 0.000, 0.375) and Pd at (0.000, 0.500, 0.250).

=====

No. 2
A geometry-optimized LiLaYRu structure. Source: the Alexandria database, functional PBE-GGA.

Its total DFT energy (no corrections) is -93.25 eV for the cell shown.

The space group is F-43m (No. 216) and the conventional cell measures 7.131, 7.131 and 7.131 Å, with angles of 90.00, 90.00 and 90.00 degrees. The inequivalent atoms are Li at (0.000, 0.000, 0.000), La at (0.250, 0.250, 0.750), Y at (0.250, 0.250, 0.250) and Ru at (0.000, 0.000, 0.500).

=====

No. 3
A geometry-optimized NbFeMoPb2 structure. Source: the Alexandria database, functional PBE-GGA.

Its total DFT energy (no corrections) is -30.56 eV for the cell shown.

The space group is P4/mmm (No. 123) and the conventional cell measures 4.925, 4.925 and 4.453 Å, with angles of 90.00, 90.00 and 90.00 degrees. The inequivalent atoms are Nb at (0.000, 0.000, 0.000), Fe at (0.500, 0.500, 0.500), Mo at (0.500, 0.500, 0.000) and Pb at (0.000, 0.500, 0.500).

=====

No. 4
A geometry-optimized PuTh2Sb4 structure. Source: the Alexandria database, functional PBE-GGA.

The value obtained for the raw formation energy is -76 kJ per mole of atoms.

The space group is I-42d (No. 122) and the conventional cell measures 9.360, 9.360 and 9.413 Å, with angles of 90.00, 90.00 and 90.00 degrees. The inequivalent atoms are Pu at (0.000, 0.000, 0.000), Th at (0.122, 0.250, 0.625) and Sb at (0.080, 0.174, 0.293).

=====

Asked for density of states at the Fermi level across the records above, the calculation gives 4.9, 11.0, 5.7, 60.7 states/eV per cell in order.